# BaFe2Se4 | OQMD via LeMat-Bulk | GGA-PBE | relaxed
data_BaFe2Se4
_symmetry_space_group_name_H-M 'C c c m'
_symmetry_Int_Tables_number 66
_symmetry_space_group_name_Hall '-C 2 2c'
_cell_length_a 5.588
_cell_length_b 11.695
_cell_length_c 11.678
_cell_angle_alpha 90.00
_cell_angle_beta 90.00
_cell_angle_gamma 90.00
loop_
_atom_site_label
_atom_site_type_symbol
_atom_site_fract_x
_atom_site_fract_y
_atom_site_fract_z
Ba1 Ba 0.000 0.000 0.250
Fe1 Fe 0.000 0.250 0.000
Se1 Se 0.247 0.411 0.000
Se2 Se 0.250 0.250 0.339
# raw total energy	-5.3470	eV/atom
# total magnetic moment	6.00	μB per formula unit

# BaFe2Se3 | OQMD via LeMat-Bulk | GGA-PBE | relaxed
data_BaFe2Se3
_symmetry_space_group_name_H-M 'C m c m'
_symmetry_Int_Tables_number 63
_symmetry_space_group_name_Hall '-C 2c 2'
_cell_length_a 4.045
_cell_length_b 14.303
_cell_length_c 9.758
_cell_angle_alpha 90.00
_cell_angle_beta 90.00
_cell_angle_gamma 90.00
loop_
_atom_site_label
_atom_site_type_symbol
_atom_site_fract_x
_atom_site_fract_y
_atom_site_fract_z
Ba1 Ba 0.000 0.245 0.250
Fe1 Fe 0.000 0.000 0.000
Fe2 Fe 0.000 0.475 0.750
Se1 Se 0.000 0.071 0.750
Se2 Se 0.000 0.376 0.549
# raw total energy	-5.5169	eV/atom
# total magnetic moment	8.00	μB per formula unit

# BaFe2Se3 | OQMD via LeMat-Bulk | GGA-PBE | relaxed
data_BaFe2Se3
_symmetry_space_group_name_H-M 'P n m a'
_symmetry_Int_Tables_number 62
_cell_length_a 11.919
_cell_length_b 5.408
_cell_length_c 9.203
_cell_angle_alpha 90.00
_cell_angle_beta 90.00
_cell_angle_gamma 90.00
loop_
_symmetry_equiv_pos_as_xyz
'x,y,z'
'-x,-y,-z'
'-x+1/2,-y,z+1/2'
'x+1/2,y,-z+1/2'
'x+1/2,-y+1/2,-z+1/2'
'-x+1/2,y+1/2,z+1/2'
'-x,y+1/2,-z'
'x,-y+1/2,z'
loop_
_atom_site_label
_atom_site_type_symbol
_atom_site_fract_x
_atom_site_fract_y
_atom_site_fract_z
Ba1 Ba 0.184 0.250 0.022
Fe1 Fe 0.005 0.000 0.362
Se1 Se 0.098 0.750 0.812
Se2 Se 0.135 0.250 0.509
Se3 Se 0.140 0.750 0.231
# raw total energy	-5.6461	eV/atom
# total magnetic moment	6.87	μB per formula unit

# BaFe2Se3 | OQMD via LeMat-Bulk | GGA-PBE | relaxed
data_BaFe2Se3
_symmetry_space_group_name_H-M 'C m c m'
_symmetry_Int_Tables_number 63
_symmetry_space_group_name_Hall '-C 2c 2'
_cell_length_a 9.194
_cell_length_b 11.610
_cell_length_c 5.455
_cell_angle_alpha 90.00
_cell_angle_beta 90.00
_cell_angle_gamma 90.00
loop_
_atom_site_label
_atom_site_type_symbol
_atom_site_fract_x
_atom_site_fract_y
_atom_site_fract_z
Ba1 Ba 0.000 0.178 0.250
Fe1 Fe 0.138 0.500 0.000
Se1 Se 0.000 0.363 0.750
Se2 Se 0.207 0.119 0.750
# raw total energy	-5.6396	eV/atom
# total magnetic moment	6.87	μB per formula unit

# Ba2FeSe3 | OQMD via LeMat-Bulk | GGA-PBE | relaxed
data_Ba2FeSe3
_symmetry_space_group_name_H-M 'P n m a'
_symmetry_Int_Tables_number 62
_cell_length_a 9.106
_cell_length_b 4.492
_cell_length_c 17.786
_cell_angle_alpha 90.00
_cell_angle_beta 90.00
_cell_angle_gamma 90.00
loop_
_symmetry_equiv_pos_as_xyz
'x,y,z'
'-x,-y,-z'
'-x+1/2,-y,z+1/2'
'x+1/2,y,-z+1/2'
'x+1/2,-y+1/2,-z+1/2'
'-x+1/2,y+1/2,z+1/2'
'-x,y+1/2,-z'
'x,-y+1/2,z'
loop_
_atom_site_label
_atom_site_type_symbol
_atom_site_fract_x
_atom_site_fract_y
_atom_site_fract_z
Ba1 Ba 0.089 0.250 0.211
Ba2 Ba 0.242 0.750 0.455
Fe1 Fe 0.132 0.250 0.635
Se1 Se 0.011 0.750 0.605
Se2 Se 0.132 0.750 0.070
Se3 Se 0.174 0.250 0.772
# relative energy among the computed polymorphs	0.0066	eV/atom
# raw total energy	-5.1612	eV/atom
# total magnetic moment	4.01	μB per formula unit

# Ba4Fe3Se10 | OQMD via LeMat-Bulk | GGA-PBE | relaxed
data_Ba4Fe3Se10
_symmetry_space_group_name_H-M 'P 1 21/c 1'
_symmetry_Int_Tables_number 14
_cell_length_a 8.871
_cell_length_b 8.809
_cell_length_c 12.800
_cell_angle_alpha 90.00
_cell_angle_beta 112.65
_cell_angle_gamma 90.00
loop_
_symmetry_equiv_pos_as_xyz
'x,y,z'
'-x,-y,-z'
'-x,y+1/2,-z+1/2'
'x,-y+1/2,z+1/2'
loop_
_atom_site_label
_atom_site_type_symbol
_atom_site_fract_x
_atom_site_fract_y
_atom_site_fract_z
Ba1 Ba 0.029 0.152 0.343
Ba2 Ba 0.443 0.124 0.167
Fe1 Fe 0.279 0.709 0.973
Fe2 Fe 0.500 0.000 0.500
Se1 Se 0.018 0.225 0.086
Se2 Se 0.183 0.524 0.416
Se3 Se 0.274 0.012 0.590
Se4 Se 0.283 0.605 0.800
Se5 Se 0.437 0.223 0.912
# raw total energy	-5.0303	eV/atom
# total magnetic moment	12.04	μB per formula unit

# BaZnFeSe3 | OQMD via LeMat-Bulk | GGA-PBE | relaxed
data_BaZnFeSe3
_symmetry_space_group_name_H-M 'C m c m'
_symmetry_Int_Tables_number 63
_symmetry_space_group_name_Hall '-C 2c 2'
_cell_length_a 4.138
_cell_length_b 13.978
_cell_length_c 10.229
_cell_angle_alpha 90.00
_cell_angle_beta 90.00
_cell_angle_gamma 90.00
loop_
_atom_site_label
_atom_site_type_symbol
_atom_site_fract_x
_atom_site_fract_y
_atom_site_fract_z
Ba1 Ba 0.000 0.248 0.250
Zn1 Zn 0.000 0.500 0.000
Fe1 Fe 0.000 0.032 0.750
Se1 Se 0.000 0.127 0.552
Se2 Se 0.000 0.435 0.750
# raw total energy	-4.4597	eV/atom
# total magnetic moment	4.00	μB per formula unit

# BaSrFe4Si2 | OQMD via LeMat-Bulk | GGA-PBE | relaxed
data_BaSrFe4Si2
_symmetry_space_group_name_H-M 'P -6 m 2'
_symmetry_Int_Tables_number 187
_symmetry_space_group_name_Hall 'P -6 2'
_cell_length_a 4.0715
_cell_length_b 4.0715
_cell_length_c 11.1050
_cell_angle_alpha 90.00
_cell_angle_beta 90.00
_cell_angle_gamma 120.00
loop_
_atom_site_label
_atom_site_type_symbol
_atom_site_fract_x
_atom_site_fract_y
_atom_site_fract_z
Ba1 Ba 0.0000 0.0000 0.0000
Sr1 Sr 0.6667 0.3333 0.5000
Fe1 Fe 0.0000 0.0000 0.2817
Fe2 Fe 0.6667 0.3333 0.2354
Si1 Si 0.3333 0.6667 0.2585
# raw total energy	-6.0918	eV/atom
# total magnetic moment	5.73	μB per formula unit

# BaFeSn2 | OQMD via LeMat-Bulk | GGA-PBE | relaxed
data_BaFeSn2
_symmetry_space_group_name_H-M 'F -4 3 m'
_symmetry_Int_Tables_number 216
_symmetry_space_group_name_Hall 'F -4 2 3'
_cell_length_a 7.427
_cell_length_b 7.427
_cell_length_c 7.427
_cell_angle_alpha 90.00
_cell_angle_beta 90.00
_cell_angle_gamma 90.00
loop_
_atom_site_label
_atom_site_type_symbol
_atom_site_fract_x
_atom_site_fract_y
_atom_site_fract_z
Ba1 Ba 0.000 0.000 0.000
Fe1 Fe 0.250 0.250 0.250
Sn1 Sn 0.000 0.000 0.500
Sn2 Sn 0.250 0.250 0.750
# raw total energy	-4.2300	eV/atom
# total magnetic moment	2.48	μB per formula unit

# Ba2FeSn | OQMD via LeMat-Bulk | GGA-PBE | relaxed
data_Ba2FeSn
_symmetry_space_group_name_H-M 'F -4 3 m'
_symmetry_Int_Tables_number 216
_symmetry_space_group_name_Hall 'F -4 2 3'
_cell_length_a 7.902
_cell_length_b 7.902
_cell_length_c 7.902
_cell_angle_alpha 90.00
_cell_angle_beta 90.00
_cell_angle_gamma 90.00
loop_
_atom_site_label
_atom_site_type_symbol
_atom_site_fract_x
_atom_site_fract_y
_atom_site_fract_z
Ba1 Ba 0.000 0.000 0.000
Ba2 Ba 0.250 0.250 0.250
Fe1 Fe 0.250 0.250 0.750
Sn1 Sn 0.000 0.000 0.500
# raw total energy	-3.7670	eV/atom
# total magnetic moment	2.02	μB per formula unit

# BaSrFe3 | OQMD via LeMat-Bulk | GGA-PBE | relaxed
data_BaSrFe3
_symmetry_space_group_name_H-M 'P 3 m 1'
_symmetry_Int_Tables_number 156
_cell_length_a 4.0955
_cell_length_b 4.0955
_cell_length_c 9.0950
_cell_angle_alpha 90.00
_cell_angle_beta 90.00
_cell_angle_gamma 120.00
loop_
_symmetry_equiv_pos_as_xyz
'x,y,z'
'-y,x-y,z'
'-x+y,-x,z'
'-y,-x,z'
'-x+y,y,z'
'x,x-y,z'
loop_
_atom_site_label
_atom_site_type_symbol
_atom_site_fract_x
_atom_site_fract_y
_atom_site_fract_z
Ba1 Ba 0.0000 0.0000 0.0000
Sr1 Sr 0.6667 0.3333 0.4235
Fe1 Fe 0.0000 0.0000 0.6610
Fe2 Fe 0.3333 0.6667 0.7027
Fe3 Fe 0.6667 0.3333 0.7478
# raw total energy	-5.4498	eV/atom
# total magnetic moment	5.93	μB per formula unit

# BaFe2Te3 | OQMD via LeMat-Bulk | GGA-PBE | relaxed
data_BaFe2Te3
_symmetry_space_group_name_H-M 'C m c m'
_symmetry_Int_Tables_number 63
_symmetry_space_group_name_Hall '-C 2c 2'
_cell_length_a 4.169
_cell_length_b 15.402
_cell_length_c 10.173
_cell_angle_alpha 90.00
_cell_angle_beta 90.00
_cell_angle_gamma 90.00
loop_
_atom_site_label
_atom_site_type_symbol
_atom_site_fract_x
_atom_site_fract_y
_atom_site_fract_z
Ba1 Ba 0.000 0.239 0.250
Fe1 Fe 0.000 0.000 0.000
Fe2 Fe 0.000 0.468 0.750
Te1 Te 0.000 0.068 0.750
Te2 Te 0.000 0.376 0.537
# raw total energy	-5.0454	eV/atom
# total magnetic moment	6.22	μB per formula unit

# BaZnFeTe3 | OQMD via LeMat-Bulk | GGA-PBE | relaxed
data_BaZnFeTe3
_symmetry_space_group_name_H-M 'C m c m'
_symmetry_Int_Tables_number 63
_symmetry_space_group_name_Hall '-C 2c 2'
_cell_length_a 4.382
_cell_length_b 14.704
_cell_length_c 11.126
_cell_angle_alpha 90.00
_cell_angle_beta 90.00
_cell_angle_gamma 90.00
loop_
_atom_site_label
_atom_site_type_symbol
_atom_site_fract_x
_atom_site_fract_y
_atom_site_fract_z
Ba1 Ba 0.000 0.248 0.250
Zn1 Zn 0.000 0.500 0.000
Fe1 Fe 0.000 0.041 0.750
Te1 Te 0.000 0.132 0.549
Te2 Te 0.000 0.439 0.750
# raw total energy	-4.0046	eV/atom
# total magnetic moment	4.00	μB per formula unit

# BaZnFe2 | OQMD via LeMat-Bulk | GGA-PBE | relaxed
data_BaZnFe2
_symmetry_space_group_name_H-M 'F -4 3 m'
_symmetry_Int_Tables_number 216
_symmetry_space_group_name_Hall 'F -4 2 3'
_cell_length_a 6.948
_cell_length_b 6.948
_cell_length_c 6.948
_cell_angle_alpha 90.00
_cell_angle_beta 90.00
_cell_angle_gamma 90.00
loop_
_atom_site_label
_atom_site_type_symbol
_atom_site_fract_x
_atom_site_fract_y
_atom_site_fract_z
Ba1 Ba 0.000 0.000 0.000
Zn1 Zn 0.250 0.250 0.250
Fe1 Fe 0.000 0.000 0.500
Fe2 Fe 0.250 0.250 0.750
# raw total energy	-4.1731	eV/atom
# total magnetic moment	5.69	μB per formula unit

# BaGdZn3GaO7 | OQMD via LeMat-Bulk | GGA-PBE | relaxed
data_BaGdZn3GaO7
_symmetry_space_group_name_H-M 'P 63'
_symmetry_Int_Tables_number 173
_cell_length_a 6.3950
_cell_length_b 6.3950
_cell_length_c 10.3411
_cell_angle_alpha 90.00
_cell_angle_beta 90.00
_cell_angle_gamma 120.00
loop_
_symmetry_equiv_pos_as_xyz
'x,y,z'
'x-y,x,z+1/2'
'-y,x-y,z'
'-x,-y,z+1/2'
'-x+y,-x,z'
'y,-x+y,z+1/2'
loop_
_atom_site_label
_atom_site_type_symbol
_atom_site_fract_x
_atom_site_fract_y
_atom_site_fract_z
Ba1 Ba 0.3333 0.6667 0.0000
Gd1 Gd 0.3333 0.6667 0.3511
Zn1 Zn 0.1706 0.3414 0.6653
Ga1 Ga 0.0000 0.0000 0.4150
O1 O 0.0000 0.0000 0.2335
O2 O 0.0147 0.5073 0.2144
O3 O 0.1575 0.3168 0.4724
# raw total energy	-5.8516	eV/atom
# total magnetic moment	0.00	μB per formula unit

# BaGdGaSe3 | OQMD via LeMat-Bulk | GGA-PBE | relaxed
data_BaGdGaSe3
_symmetry_space_group_name_H-M 'C m c m'
_symmetry_Int_Tables_number 63
_symmetry_space_group_name_Hall '-C 2c 2'
_cell_length_a 4.247
_cell_length_b 14.492
_cell_length_c 11.767
_cell_angle_alpha 90.00
_cell_angle_beta 90.00
_cell_angle_gamma 90.00
loop_
_atom_site_label
_atom_site_type_symbol
_atom_site_fract_x
_atom_site_fract_y
_atom_site_fract_z
Ba1 Ba 0.000 0.205 0.250
Gd1 Gd 0.000 0.500 0.000
Ga1 Ga 0.000 0.104 0.750
Se1 Se 0.000 0.134 0.511
Se2 Se 0.000 0.483 0.750
# raw total energy	-4.7176	eV/atom
# total magnetic moment	0.00	μB per formula unit

# BaGdGaTe3 | OQMD via LeMat-Bulk | GGA-PBE | relaxed
data_BaGdGaTe3
_symmetry_space_group_name_H-M 'C m c m'
_symmetry_Int_Tables_number 63
_symmetry_space_group_name_Hall '-C 2c 2'
_cell_length_a 4.636
_cell_length_b 15.355
_cell_length_c 11.716
_cell_angle_alpha 90.00
_cell_angle_beta 90.00
_cell_angle_gamma 90.00
loop_
_atom_site_label
_atom_site_type_symbol
_atom_site_fract_x
_atom_site_fract_y
_atom_site_fract_z
Ba1 Ba 0.000 0.239 0.250
Gd1 Gd 0.000 0.000 0.000
Ga1 Ga 0.000 0.470 0.750
Te1 Te 0.000 0.088 0.750
Te2 Te 0.000 0.359 0.536
# raw total energy	-4.2490	eV/atom
# total magnetic moment	0.00	μB per formula unit

# BaZn2GaGe | OQMD via LeMat-Bulk | GGA-PBE | relaxed
data_BaZn2GaGe
_symmetry_space_group_name_H-M 'I 4 m m'
_symmetry_Int_Tables_number 107
_symmetry_space_group_name_Hall 'I 4 -2'
_cell_length_a 4.524
_cell_length_b 4.524
_cell_length_c 10.951
_cell_angle_alpha 90.00
_cell_angle_beta 90.00
_cell_angle_gamma 90.00
loop_
_atom_site_label
_atom_site_type_symbol
_atom_site_fract_x
_atom_site_fract_y
_atom_site_fract_z
Ba1 Ba 0.000 0.000 0.000
Zn1 Zn 0.000 0.500 0.249
Ga1 Ga 0.000 0.000 0.622
Ge1 Ge 0.000 0.000 0.381
# raw total energy	-2.7995	eV/atom

# BaHfGa2 | OQMD via LeMat-Bulk | GGA-PBE | relaxed
data_BaHfGa2
_symmetry_space_group_name_H-M 'F -4 3 m'
_symmetry_Int_Tables_number 216
_symmetry_space_group_name_Hall 'F -4 2 3'
_cell_length_a 7.295
_cell_length_b 7.295
_cell_length_c 7.295
_cell_angle_alpha 90.00
_cell_angle_beta 90.00
_cell_angle_gamma 90.00
loop_
_atom_site_label
_atom_site_type_symbol
_atom_site_fract_x
_atom_site_fract_y
_atom_site_fract_z
Ba1 Ba 0.000 0.000 0.000
Hf1 Hf 0.250 0.250 0.250
Ga1 Ga 0.000 0.000 0.500
Ga2 Ga 0.250 0.250 0.750
# raw total energy	-3.9811	eV/atom
# total magnetic moment	1.52	μB per formula unit

# Ba2Ga3Hg | OQMD via LeMat-Bulk | GGA-PBE | relaxed
data_Ba2Ga3Hg
_symmetry_space_group_name_H-M 'C 1 m 1'
_symmetry_Int_Tables_number 8
_cell_length_a 11.575
_cell_length_b 4.970
_cell_length_c 8.247
_cell_angle_alpha 90.00
_cell_angle_beta 134.12
_cell_angle_gamma 90.00
loop_
_symmetry_equiv_pos_as_xyz
'x,y,z'
'x,-y,z'
'x+1/2,y+1/2,z'
'x+1/2,-y+1/2,z'
loop_
_atom_site_label
_atom_site_type_symbol
_atom_site_fract_x
_atom_site_fract_y
_atom_site_fract_z
Ba1 Ba 0.000 0.000 0.000
Ba2 Ba 0.006 0.500 0.602
Ga1 Ga 0.178 0.000 0.554
Ga2 Ga 0.191 0.500 0.398
Ga3 Ga 0.323 0.500 0.218
Hg1 Hg 0.313 0.000 0.029
# raw total energy	-2.6508	eV/atom